[1]
Entry from Alexandria via LeMat-Bulk: crystalline SrHgRu2 at its relaxed geometry (PBE-GGA).

Lattice parameters (Å, degrees): 4.844 4.844 4.844 60.00 60.00 60.00
Site moments in Bohr magnetons follow the coordinates.
Fractional positions:
Hg: 0.500 0.500 0.500  -0.02
Ru: 0.000 0.000 0.000  1.19
Ru: 0.250 0.250 0.250  0.82
Sr: 0.750 0.750 0.750  -0.03

Values from the calculation:
The calculation puts the energy of formation at 0.66 eV per atom. The total magnetic moment comes out at 1.92 μB/cell. The calculated total energy comes out at -4.475 eV/atom. The space-group type is F-43m.

=====

[2]
Entry from Alexandria via LeMat-Bulk: crystalline CaPrY2S4 at its relaxed geometry (PBE-GGA).

Lattice parameters (Å, degrees): 3.966 6.915 6.936 70.92 90.00 90.00
Fractional positions:
Ca: 0.000 0.500 0.500
Pr: 0.500 0.500 0.000
Y: 0.000 0.000 0.000
Y: 0.500 0.000 0.500
S: 0.000 0.762 0.739
S: 0.000 0.238 0.261
S: 0.500 0.758 0.253
S: 0.500 0.242 0.747

Values from the calculation:
The total magnetic moment comes out at 0.00 μB/cell. The calculated total energy comes out at -6.556 eV/atom. As for the energy relative to the elements, uncorrected: -46.8 kcal/mol of atoms. The space-group type is P2/m.

=====

[3]
Entry from Alexandria via LeMat-Bulk: crystalline Ce3PmRh2 at its relaxed geometry (PBE-GGA).

Lattice parameters (Å, degrees): 4.590 8.463 8.438 116.62 90.00 105.74
Fractional positions:
Ce: 0.291 0.582 0.632
Ce: 0.932 0.864 0.568
Ce: 0.624 0.248 0.693
Ce: 0.376 0.752 0.307
Ce: 0.068 0.136 0.432
Ce: 0.709 0.418 0.368
Pm: 0.890 0.779 0.972
Pm: 0.110 0.221 0.028
Rh: 0.477 0.954 0.807
Rh: 0.523 0.046 0.193
Rh: 0.761 0.521 0.118
Rh: 0.239 0.479 0.882

Values from the calculation:
The calculation puts the energy of formation at -0.48 eV per atom. The total magnetic moment comes out at 0.00 μB/cell. The calculated total energy comes out at -6.689 eV/atom. The space-group type is C2/m.

=====

Repeat the first record exactly.
Entry from Alexandria via LeMat-Bulk: crystalline SrHgRu2 at its relaxed geometry (PBE-GGA).

Lattice parameters (Å, degrees): 4.844 4.844 4.844 60.00 60.00 60.00
Site moments in Bohr magnetons follow the coordinates.
Fractional positions:
Hg: 0.500 0.500 0.500  -0.02
Ru: 0.000 0.000 0.000  1.19
Ru: 0.250 0.250 0.250  0.82
Sr: 0.750 0.750 0.750  -0.03

Values from the calculation:
The calculation puts the energy of formation at 0.66 eV per atom. The total magnetic moment comes out at 1.92 μB/cell. The calculated total energy comes out at -4.475 eV/atom. The space-group type is F-43m.